--- w ---
Computed, not measured: crystalline ZrVSb2 at its relaxed geometry at the GGA-PBE level of DFT.

## Properties
The crystal system is trigonal.

a = 4.1393 Å, b = 4.1393 Å, c = 18.7164 Å
α = 90.00°, β = 90.00°, γ = 120.00°
Closest atoms and distances in Å follow each position.
Sites, in units of the cell vectors:
Zr (0.0000, 0.0000, 0.0000)  6 Sb 2.94
Zr (0.3333, 0.6667, 0.6667)  6 Sb 2.94
Zr (0.6667, 0.3333, 0.3333)  6 Sb 2.94
V (0.0000, 0.0000, 0.5000)  6 Sb 2.77
V (0.3333, 0.6667, 0.1667)  6 Sb 2.77
V (0.6667, 0.3333, 0.8333)  6 Sb 2.77
Sb (0.0000, 0.0000, 0.2419)  3 V 2.77, 3 Zr 2.94
Sb (0.0000, 0.0000, 0.7581)  3 V 2.77, 3 Zr 2.94
Sb (0.3333, 0.6667, 0.4248)  3 V 2.77, 3 Zr 2.94
Sb (0.3333, 0.6667, 0.9085)  3 V 2.77, 3 Zr 2.94
Sb (0.6667, 0.3333, 0.0915)  3 V 2.77, 3 Zr 2.94
Sb (0.6667, 0.3333, 0.5752)  3 V 2.77, 3 Zr 2.94

--- x ---
Computed, not measured: crystalline ZrVSb2 at its relaxed geometry at the GGA-PBE level of DFT.

## Properties
The crystal system is cubic.

a = 6.9055 Å, b = 6.9055 Å, c = 6.9055 Å
α = 90.00°, β = 90.00°, γ = 90.00°
Closest atoms and distances in Å follow each position.
Sites, in units of the cell vectors:
Zr (0.0000, 0.0000, 0.0000)  8 Sb 2.99
Zr (0.0000, 0.5000, 0.5000)  8 Sb 2.99
Zr (0.5000, 0.0000, 0.5000)  8 Sb 2.99
Zr (0.5000, 0.5000, 0.0000)  8 Sb 2.99
V (0.0000, 0.0000, 0.5000)  8 Sb 2.99
V (0.0000, 0.5000, 0.0000)  8 Sb 2.99
V (0.5000, 0.0000, 0.0000)  8 Sb 2.99
V (0.5000, 0.5000, 0.5000)  8 Sb 2.99
Sb (0.2500, 0.2500, 0.2500)  4 Zr 2.99, 4 V 2.99
Sb (0.2500, 0.2500, 0.7500)  4 Zr 2.99, 4 V 2.99
Sb (0.2500, 0.7500, 0.2500)  4 V 2.99, 4 Zr 2.99
Sb (0.2500, 0.7500, 0.7500)  4 Zr 2.99, 4 V 2.99
Sb (0.7500, 0.2500, 0.2500)  4 V 2.99, 4 Zr 2.99
Sb (0.7500, 0.2500, 0.7500)  4 Zr 2.99, 4 V 2.99
Sb (0.7500, 0.7500, 0.2500)  4 Zr 2.99, 4 V 2.99
Sb (0.7500, 0.7500, 0.7500)  4 V 2.99, 4 Zr 2.99

w takes first place; second place is 80 meV per atom up.

--- w ---
Computed, not measured: crystalline SbW at its relaxed geometry at the GGA-PBE level of DFT.

## Properties
The crystal system is orthorhombic.

a = 3.3975 Å, b = 5.2363 Å, c = 4.3858 Å
α = 90.00°, β = 90.00°, γ = 90.00°
Closest atoms and distances in Å follow each position.
Sites, in units of the cell vectors:
Sb (0.0000, 0.0000, 0.0000)  4 W 2.77
Sb (0.5000, 0.5000, 0.0000)  4 W 2.77
W (0.0000, 0.5000, 0.5000)  4 Sb 2.77
W (0.5000, 0.0000, 0.5000)  4 Sb 2.77

--- x ---
Computed, not measured: crystalline SbW at its relaxed geometry at the GGA-PBE level of DFT.

## Properties
The crystal system is monoclinic.

a = 9.7906 Å, b = 3.5584 Å, c = 6.2904 Å
α = 90.00°, β = 129.72°, γ = 90.00°
Closest atoms and distances in Å follow each position.
Sites, in units of the cell vectors:
Sb (0.0675, 0.0000, 0.3207)  6 W 2.82-3.07
Sb (0.4325, 0.5000, 0.6793)  6 W 2.82-3.07
Sb (0.5675, 0.5000, 0.3207)  6 W 2.82-3.07
Sb (0.9325, 0.0000, 0.6793)  6 W 2.82-3.07
W (0.1980, 0.5000, 0.0856)  2 W 2.60, 4 Sb 2.82-2.91
W (0.3020, 0.0000, 0.9144)  2 W 2.60, 4 Sb 2.82-2.91
W (0.6980, 0.0000, 0.0856)  2 W 2.60, 4 Sb 2.82-2.91
W (0.8020, 0.5000, 0.9144)  2 W 2.60, 4 Sb 2.82-2.91

--- y ---
Computed, not measured: crystalline SbW at its relaxed geometry at the GGA-PBE level of DFT.

## Properties
The crystal system is orthorhombic.

a = 5.4851 Å, b = 6.8304 Å, c = 9.0535 Å
α = 90.00°, β = 90.00°, γ = 90.00°
Closest atoms and distances in Å follow each position.
Sites, in units of the cell vectors:
Sb (0.0909, 0.1991, 0.1697)  5 W 2.78-3.08, 1 Sb 3.07
Sb (0.2312, 0.4094, 0.5417)  6 W 2.74-3.00
Sb (0.2688, 0.5906, 0.0417)  6 W 2.74-3.00
Sb (0.4091, 0.8009, 0.6697)  5 W 2.78-3.08, 1 Sb 3.07
Sb (0.5909, 0.3009, 0.8303)  5 W 2.78-3.08, 1 Sb 3.07
Sb (0.7312, 0.0906, 0.4583)  6 W 2.74-3.00
Sb (0.7688, 0.9094, 0.9583)  6 W 2.74-3.00
Sb (0.9091, 0.6991, 0.3303)  5 W 2.78-3.08, 1 Sb 3.07
W (0.0230, 0.1230, 0.7126)  1 W 2.56, 2 Sb 2.74-2.81
W (0.2354, 0.0174, 0.4301)  1 W 2.56, 5 Sb 2.78-2.86
W (0.2646, 0.9826, 0.9301)  1 W 2.56, 5 Sb 2.78-2.86
W (0.4770, 0.8770, 0.2126)  1 W 2.56, 2 Sb 2.74-2.81
W (0.5230, 0.3770, 0.2874)  1 W 2.56, 2 Sb 2.74-2.81
W (0.7354, 0.4826, 0.5699)  1 W 2.56, 5 Sb 2.78-2.86
W (0.7646, 0.5174, 0.0699)  1 W 2.56, 5 Sb 2.78-2.86
W (0.9770, 0.6230, 0.7874)  1 W 2.56, 2 Sb 2.74-2.81

--- z ---
Computed, not measured: crystalline SbW at its relaxed geometry at the GGA-PBE level of DFT.

## Properties
The crystal system is tetragonal.

a = 4.3944 Å, b = 4.3944 Å, c = 7.9646 Å
α = 90.00°, β = 90.00°, γ = 90.00°
Closest atoms and distances in Å follow each position.
Sites, in units of the cell vectors:
Sb (0.0000, 0.2500, 0.3750)  8 W 2.97-3.11, 4 Sb 2.97
Sb (0.0000, 0.7500, 0.6250)  8 W 2.97-3.11, 4 Sb 2.97
Sb (0.5000, 0.2500, 0.1250)  8 W 2.97-3.11, 4 Sb 2.97
Sb (0.5000, 0.7500, 0.8750)  8 W 2.97-3.11, 4 Sb 2.97
W (0.0000, 0.2500, 0.8750)  4 W 2.97, 8 Sb 2.97-3.11
W (0.0000, 0.7500, 0.1250)  4 W 2.97, 8 Sb 2.97-3.11
W (0.5000, 0.2500, 0.6250)  4 W 2.97, 8 Sb 2.97-3.11
W (0.5000, 0.7500, 0.3750)  4 W 2.97, 8 Sb 2.97-3.11

x takes first place; second place is 262 meV per atom up.

--- w ---
Computed, not measured: crystalline SbW at its relaxed geometry at the GGA-PBE level of DFT.

## Properties
The crystal system is tetragonal.

a = 5.9910 Å, b = 5.9910 Å, c = 5.3708 Å
α = 90.00°, β = 90.00°, γ = 90.00°
Closest atoms and distances in Å follow each position.
Sites, in units of the cell vectors:
Sb (0.2061, 0.2061, 0.0000)  4 W 2.74-2.76
Sb (0.2939, 0.7061, 0.5000)  4 W 2.74-2.76
Sb (0.7061, 0.2939, 0.5000)  4 W 2.74-2.76
Sb (0.7939, 0.7939, 0.0000)  4 W 2.74-2.76
W (0.1416, 0.1416, 0.5000)  1 W 2.40
W (0.3584, 0.6416, 0.0000)  1 W 2.40
W (0.6416, 0.3584, 0.0000)  1 W 2.40
W (0.8584, 0.8584, 0.5000)  1 W 2.40

--- x ---
Computed, not measured: crystalline SbW at its relaxed geometry at the GGA-PBE level of DFT.

## Properties
The crystal system is trigonal.

a = 4.5352 Å, b = 4.5352 Å, c = 14.3929 Å
α = 90.00°, β = 90.00°, γ = 120.00°
Closest atoms and distances in Å follow each position.
Sites, in units of the cell vectors:
Sb (0.0000, 0.0000, 0.1076)  7 W 2.93-3.17, 4 Sb 3.10-3.12
Sb (0.0000, 0.0000, 0.8924)  7 W 2.93-3.17, 4 Sb 3.10-3.12
Sb (0.3333, 0.6667, 0.5590)  7 W 2.93-3.17, 4 Sb 3.10-3.12
Sb (0.3333, 0.6667, 0.7743)  7 W 2.93-3.17, 4 Sb 3.10-3.12
Sb (0.6667, 0.3333, 0.2257)  7 W 2.93-3.17, 4 Sb 3.10-3.12
Sb (0.6667, 0.3333, 0.4410)  7 W 2.93-3.17, 4 Sb 3.10-3.12
W (0.0000, 0.0000, 0.3167)  3 W 2.66, 3 Sb 2.93
W (0.0000, 0.0000, 0.6833)  3 W 2.66, 3 Sb 2.93
W (0.3333, 0.6667, 0.3499)  3 W 2.66, 3 Sb 2.93
W (0.3333, 0.6667, 0.9834)  3 W 2.66, 3 Sb 2.93
W (0.6667, 0.3333, 0.0166)  3 W 2.66, 3 Sb 2.93
W (0.6667, 0.3333, 0.6501)  3 W 2.66, 3 Sb 2.93

--- y ---
Computed, not measured: crystalline SbW at its relaxed geometry at the GGA-PBE level of DFT.

## Properties
The crystal system is hexagonal.

a = 4.3748 Å, b = 4.3748 Å, c = 12.1540 Å
α = 90.00°, β = 90.00°, γ = 120.00°
Closest atoms and distances in Å follow each position.
Sites, in units of the cell vectors:
Sb (0.3333, 0.6667, 0.1088)  6 W 3.05
Sb (0.3333, 0.6667, 0.3912)  6 W 3.05
Sb (0.6667, 0.3333, 0.6088)  6 W 3.05
Sb (0.6667, 0.3333, 0.8912)  6 W 3.05
W (0.0000, 0.0000, 0.2500)  3 W 2.53
W (0.0000, 0.0000, 0.7500)  3 W 2.53
W (0.3333, 0.6667, 0.7500)  3 W 2.53
W (0.6667, 0.3333, 0.2500)  3 W 2.53

--- z ---
Computed, not measured: crystalline SbW at its relaxed geometry at the GGA-PBE level of DFT.

## Properties
The crystal system is hexagonal.

a = 9.1551 Å, b = 9.1551 Å, c = 3.7585 Å
α = 90.00°, β = 90.00°, γ = 120.00°
Closest atoms and distances in Å follow each position.
Sites, in units of the cell vectors:
Sb (0.0271, 0.2844, 0.2500)  4 W 2.67-2.89
Sb (0.2573, 0.9729, 0.2500)  4 W 2.67-2.89
Sb (0.2844, 0.2573, 0.7500)  4 W 2.67-2.89
Sb (0.7156, 0.7427, 0.2500)  4 W 2.67-2.89
Sb (0.7427, 0.0271, 0.7500)  4 W 2.67-2.89
Sb (0.9729, 0.7156, 0.7500)  4 W 2.67-2.89
W (0.1316, 0.6137, 0.2500)  4 Sb 2.67-2.89, 4 W 2.87-2.94
W (0.3863, 0.5179, 0.2500)  4 Sb 2.67-2.89, 4 W 2.87-2.94
W (0.4821, 0.8684, 0.2500)  4 Sb 2.67-2.89, 4 W 2.87-2.94
W (0.5179, 0.1316, 0.7500)  4 Sb 2.67-2.89, 4 W 2.87-2.94
W (0.6137, 0.4821, 0.7500)  4 Sb 2.67-2.89, 4 W 2.87-2.94
W (0.8684, 0.3863, 0.7500)  4 Sb 2.67-2.89, 4 W 2.87-2.94

x takes first place; second place is 94 meV per atom up.

--- w ---
Computed, not measured: crystalline SbW at its relaxed geometry at the GGA-PBE level of DFT.

## Properties
The crystal system is monoclinic.

a = 11.8493 Å, b = 3.2656 Å, c = 7.1776 Å
α = 90.00°, β = 117.41°, γ = 90.00°
Closest atoms and distances in Å follow each position.
Sites, in units of the cell vectors:
Sb (0.0000, 0.0000, 0.0000)  4 W 2.69-2.81
Sb (0.1295, 0.5000, 0.4274)  4 W 2.75-2.84
Sb (0.3378, 0.0000, 0.2986)  3 W 2.79-2.93
Sb (0.5000, 0.5000, 0.0000)  4 W 2.69-2.81
Sb (0.6295, 0.0000, 0.4274)  4 W 2.75-2.84
Sb (0.8378, 0.5000, 0.2986)  3 W 2.79-2.93
W (0.0564, 0.0000, 0.6774)  2 W 2.66, 3 Sb 2.69-2.84
W (0.2440, 0.5000, 0.9178)  4 W 2.66-2.86, 3 Sb 2.81-2.93
W (0.3284, 0.0000, 0.6796)  5 Sb 2.75-2.79, 2 W 2.86
W (0.5564, 0.5000, 0.6774)  2 W 2.66, 3 Sb 2.69-2.84
W (0.7440, 0.0000, 0.9178)  4 W 2.66-2.86, 3 Sb 2.81-2.93
W (0.8284, 0.5000, 0.6796)  5 Sb 2.75-2.79, 2 W 2.86

--- x ---
Computed, not measured: crystalline SbW at its relaxed geometry at the GGA-PBE level of DFT.

## Properties
The crystal system is monoclinic.

a = 5.4431 Å, b = 3.1548 Å, c = 10.5442 Å
α = 90.00°, β = 90.22°, γ = 90.00°
Closest atoms and distances in Å follow each position.
Sites, in units of the cell vectors:
Sb (0.0000, 0.0000, 0.0000)  3 W 2.93, 6 Sb 3.15
Sb (0.1617, 0.5000, 0.3793)  3 W 2.95-2.96, 6 Sb 3.15
Sb (0.5000, 0.5000, 0.0000)  3 W 2.93, 6 Sb 3.15
Sb (0.6617, 0.0000, 0.3793)  3 W 2.95-2.96, 6 Sb 3.15
W (0.1656, 0.5000, 0.7817)  3 W 2.63-2.65, 3 Sb 2.93
W (0.3279, 0.0000, 0.6004)  3 W 2.63-2.65
W (0.6656, 0.0000, 0.7817)  3 W 2.63-2.65, 3 Sb 2.93
W (0.8279, 0.5000, 0.6004)  3 W 2.63-2.65

x takes first place; second place is 73 meV per atom up.

--- w ---
Computed, not measured: crystalline SbW at its relaxed geometry at the GGA-PBE level of DFT.

## Properties
The crystal system is monoclinic.

a = 9.7246 Å, b = 3.2862 Å, c = 5.1234 Å
α = 90.00°, β = 110.25°, γ = 90.00°
Closest atoms and distances in Å follow each position.
Sites, in units of the cell vectors:
Sb (0.1089, 0.0000, 0.3228)  5 W 2.75-2.96
Sb (0.3911, 0.5000, 0.6772)  5 W 2.75-2.96
Sb (0.6089, 0.5000, 0.3228)  5 W 2.75-2.96
Sb (0.8911, 0.0000, 0.6772)  5 W 2.75-2.96
W (0.1442, 0.5000, 0.8225)  5 Sb 2.75-2.96, 2 W 2.77
W (0.3558, 0.0000, 0.1775)  5 Sb 2.75-2.96, 2 W 2.77
W (0.6442, 0.0000, 0.8225)  5 Sb 2.75-2.96, 2 W 2.77
W (0.8558, 0.5000, 0.1775)  5 Sb 2.75-2.96, 2 W 2.77

--- x ---
Computed, not measured: crystalline SbW at its relaxed geometry at the GGA-PBE level of DFT.

## Properties
The crystal system is tetragonal.

a = 10.8435 Å, b = 10.8435 Å, c = 3.1903 Å
α = 90.00°, β = 90.00°, γ = 90.00°
Closest atoms and distances in Å follow each position.
Sites, in units of the cell vectors:
Sb (0.1355, 0.8100, 0.0000)  3 W 2.85-3.02, 2 Sb 3.19
Sb (0.1900, 0.1355, 0.0000)  3 W 2.85-3.02, 2 Sb 3.19
Sb (0.3100, 0.3645, 0.5000)  3 W 2.85-3.02, 2 Sb 3.19
Sb (0.3645, 0.6900, 0.5000)  3 W 2.85-3.02, 2 Sb 3.19
Sb (0.6355, 0.3100, 0.5000)  3 W 2.85-3.02, 2 Sb 3.19
Sb (0.6900, 0.6355, 0.5000)  3 W 2.85-3.02, 2 Sb 3.19
Sb (0.8100, 0.8645, 0.0000)  3 W 2.85-3.02, 2 Sb 3.19
Sb (0.8645, 0.1900, 0.0000)  3 W 2.85-3.02, 2 Sb 3.19
W (0.0940, 0.3965, 0.0000)  4 W 2.67, 2 Sb 2.85
W (0.1035, 0.5940, 0.5000)  4 W 2.67, 2 Sb 2.85
W (0.3965, 0.9060, 0.0000)  4 W 2.67, 2 Sb 2.85
W (0.4060, 0.1035, 0.5000)  4 W 2.67, 2 Sb 2.85
W (0.5940, 0.8965, 0.5000)  4 W 2.67, 2 Sb 2.85
W (0.6035, 0.0940, 0.0000)  4 W 2.67, 2 Sb 2.85
W (0.8965, 0.4060, 0.5000)  4 W 2.67, 2 Sb 2.85
W (0.9060, 0.6035, 0.0000)  4 W 2.67, 2 Sb 2.85

--- y ---
Computed, not measured: crystalline SbW at its relaxed geometry at the GGA-PBE level of DFT.

## Properties
The crystal system is tetragonal.

a = 3.7492 Å, b = 3.7492 Å, c = 6.8499 Å
α = 90.00°, β = 90.00°, γ = 90.00°
Closest atoms and distances in Å follow each position.
Sites, in units of the cell vectors:
Sb (0.2500, 0.2500, 0.1849)  4 W 2.86
Sb (0.7500, 0.7500, 0.8151)  4 W 2.86
W (0.2500, 0.7500, 0.5000)  4 W 2.65, 4 Sb 2.86
W (0.7500, 0.2500, 0.5000)  4 W 2.65, 4 Sb 2.86

x takes first place; second place is 30 meV per atom up.

--- w ---
Computed, not measured: crystalline Sb3W at its relaxed geometry at the GGA-PBE level of DFT.

## Properties
The crystal system is trigonal.

a = 9.9517 Å, b = 9.9517 Å, c = 3.1962 Å
α = 90.00°, β = 90.00°, γ = 120.00°
Closest atoms and distances in Å follow each position.
Sites, in units of the cell vectors:
Sb (0.0000, 0.5000, 0.0000)  6 Sb 3.06-3.20, 2 W 3.06
Sb (0.1667, 0.3333, 0.3333)  6 Sb 3.06-3.20, 2 W 3.06
Sb (0.1667, 0.8333, 0.3333)  2 W 3.06, 6 Sb 3.06-3.20
Sb (0.3333, 0.1667, 0.6667)  6 Sb 3.06-3.20, 2 W 3.06
Sb (0.5000, 0.0000, 0.0000)  2 W 3.06, 6 Sb 3.06-3.20
Sb (0.5000, 0.5000, 0.0000)  6 Sb 3.06-3.20, 2 W 3.06
Sb (0.6667, 0.8333, 0.3333)  6 Sb 3.06-3.20, 2 W 3.06
Sb (0.8333, 0.1667, 0.6667)  2 W 3.06, 6 Sb 3.06-3.20
Sb (0.8333, 0.6667, 0.6667)  6 Sb 3.06-3.20, 2 W 3.06
W (0.0000, 0.0000, 0.0000)  6 Sb 3.06, 2 W 3.20
W (0.3333, 0.6667, 0.6667)  6 Sb 3.06, 2 W 3.20
W (0.6667, 0.3333, 0.3333)  6 Sb 3.06, 2 W 3.20

--- x ---
Computed, not measured: crystalline Sb3W at its relaxed geometry at the GGA-PBE level of DFT.

## Properties
The crystal system is cubic.

a = 5.6572 Å, b = 5.6572 Å, c = 5.6572 Å
α = 90.00°, β = 90.00°, γ = 90.00°
Closest atoms and distances in Å follow each position.
Sites, in units of the cell vectors:
Sb (0.0000, 0.2500, 0.5000)  2 Sb 2.83, 4 W 3.16
Sb (0.0000, 0.7500, 0.5000)  2 Sb 2.83, 4 W 3.16
Sb (0.2500, 0.5000, 0.0000)  2 Sb 2.83, 4 W 3.16
Sb (0.5000, 0.0000, 0.2500)  2 Sb 2.83, 4 W 3.16
Sb (0.5000, 0.0000, 0.7500)  2 Sb 2.83, 4 W 3.16
Sb (0.7500, 0.5000, 0.0000)  2 Sb 2.83, 4 W 3.16
W (0.0000, 0.0000, 0.0000)  12 Sb 3.16
W (0.5000, 0.5000, 0.5000)  12 Sb 3.16

x takes first place; second place is 173 meV per atom up.